RbTaCuSe4: relaxed, GGA-PBE.

DOS(E_F)	0.439	states/eV/atom
energy	-71.57	eV/cell

Cell lengths 5.7934, 7.7326, 10.2888 Å; angles 90.00, 92.99, 90.00 degrees
Space group P2_1/m (No. 11)
Asymmetric unit:
Rb 0.2296 0.2500 0.3675 (multiplicity 2)
Ta 0.4672 0.7500 0.2250 (multiplicity 2)
Cu 0.0347 0.2500 0.7775 (multiplicity 2)
Se 0.2019 0.7500 0.0361 (multiplicity 2)
Se 0.2365 0.7500 0.4157 (multiplicity 2)
Se 0.2855 0.5024 0.7743 (multiplicity 4)

NaHf2Ni: relaxed, GGA-PBE.

energy above the lowest structure with this stoichiometry	69.2	meV per atom
DOS(E_F)	1.304	states/eV/atom
energy	-100.21	eV/cell
formation energy from the elements	0.49	eV per atom

Cell lengths 7.5893, 7.5893, 5.8330 Å; angles 90.00, 90.00, 90.00 degrees
Space group I-42d (No. 122)
Asymmetric unit:
Na 0.0000 0.0000 0.0000 (multiplicity 4)
Hf 0.1896 0.2500 0.6250 (multiplicity 8)
Ni 0.0000 0.0000 0.5000 (multiplicity 4)

PmMg3Sc: relaxed, GGA-PBE.

DOS(E_F)	0.818	states/eV/atom
energy	-83.74	eV/cell
formation energy from the elements	0.38	eV per atom

Cell lengths 7.7051, 7.7051, 16.5609 Å; angles 90.00, 90.00, 120.00 degrees
Space group R-3 (No. 148, hexagonal axes)
Asymmetric unit:
Pm 0.0000 0.0000 0.0948 (multiplicity 6)
Mg 0.0236 0.2380 0.2560 (multiplicity 18)
Sc 0.0000 0.0000 0.4103 (multiplicity 6)

Repeat the first record exactly.
RbTaCuSe4: relaxed, GGA-PBE.

DOS(E_F)	0.439	states/eV/atom
energy	-71.57	eV/cell

Cell lengths 5.7934, 7.7326, 10.2888 Å; angles 90.00, 92.99, 90.00 degrees
Space group P2_1/m (No. 11)
Asymmetric unit:
Rb 0.2296 0.2500 0.3675 (multiplicity 2)
Ta 0.4672 0.7500 0.2250 (multiplicity 2)
Cu 0.0347 0.2500 0.7775 (multiplicity 2)
Se 0.2019 0.7500 0.0361 (multiplicity 2)
Se 0.2365 0.7500 0.4157 (multiplicity 2)
Se 0.2855 0.5024 0.7743 (multiplicity 4)